No. 1
Computed, not measured: a relaxed SrCaTeRu2 crystal at the PBE level of DFT.

Calculated values
- Size of the total moment: 2.79 μB per formula unit
- DFT total energy: -17.70 eV/cell

abc: 4.9211 4.9211 6.1018
angles: 90.00 90.00 90.00
With the nearest neighbours (Å) after each atom.
Space group P4/mmm (No. 123)
One atom of each set of equivalent atoms:
Sr 0.0000 0.0000 0.0000  4 Ru 2.46
Ca 0.0000 0.0000 0.5000  2 Sr 3.05
Te 0.5000 0.5000 0.5000  4 Ca 3.48
Ru 0.0000 0.5000 0.0000  2 Sr 2.46

No. 2
Computed, not measured: a relaxed SrCaTi2Ru crystal at the PBE level of DFT.

Calculated values
- Size of the total moment: 0.00 μB per formula unit
- Formation enthalpy at 0 K: 1.661 eV/atom
- DFT total energy: -20.44 eV/cell

abc: 4.9724 4.9724 4.9413
angles: 90.00 90.00 90.00
With the nearest neighbours (Å) after each atom.
Space group P4/mmm (No. 123)
One atom of each set of equivalent atoms:
Sr 0.0000 0.0000 0.0000  2 Ru 2.47, 4 Ti 2.49
Ca 0.5000 0.5000 0.5000  8 Ti 3.51, 4 Ru 3.52
Ti 0.0000 0.5000 0.0000  2 Sr 2.49
Ru 0.0000 0.0000 0.5000  2 Sr 2.47

No. 3
Computed, not measured: a relaxed SrCaY2Ru crystal at the PBE level of DFT.

Calculated values
- Size of the total moment: 0.00 μB per formula unit
- Formation enthalpy at 0 K: -0.008 eV/atom
- DFT total energy: -25.93 eV/cell
- Polymorph energy (0 for the lowest one): 71 meV per atom

abc: 5.4275 5.4275 5.9428
angles: 90.00 90.00 90.00
With the nearest neighbours (Å) after each atom.
Space group P4/mmm (No. 123)
One atom of each set of equivalent atoms:
Sr 0.0000 0.0000 0.0000  2 Ru 2.97
Ca 0.5000 0.5000 0.0000  4 Sr 3.84, 8 Y 4.02
Y 0.0000 0.5000 0.5000  2 Ru 2.71
Ru 0.0000 0.0000 0.5000  4 Y 2.71, 2 Sr 2.97

No. 4
Computed, not measured: a relaxed SrCaY2Ru crystal at the PBE level of DFT.

Calculated values
- Size of the total moment: 0.00 μB per formula unit
- Formation enthalpy at 0 K: -0.078 eV/atom
- DFT total energy: -26.28 eV/cell
- Polymorph energy (0 for the lowest one): 0 meV per atom

abc: 5.4329 5.4329 5.7782
angles: 90.00 90.00 90.00
With the nearest neighbours (Å) after each atom.
Space group P4/mmm (No. 123)
One atom of each set of equivalent atoms:
Sr 0.0000 0.0000 0.0000  4 Ca 3.84, 8 Y 3.97
Ca 0.5000 0.5000 0.0000  2 Ru 2.89
Y 0.0000 0.5000 0.5000  2 Ru 2.72
Ru 0.5000 0.5000 0.5000  4 Y 2.72, 2 Ca 2.89

No. 5
Computed, not measured: a relaxed CaTa2Ru crystal at the PBE level of DFT.

Calculated values
- Size of the total moment: 0.00 μB per formula unit
- Formation enthalpy at 0 K: 0.463 eV/atom
- DFT total energy: -33.13 eV/cell
- Polymorph energy (0 for the lowest one): 337 meV per atom

abc: 3.2710 4.5963 4.9447
angles: 90.00 90.00 90.00
With the nearest neighbours (Å) after each atom.
Space group Pmmm (No. 47)
One atom of each set of equivalent atoms:
Ca 0.0000 0.0000 0.0000  4 Ru 2.82, 4 Ta 2.96
Ta 0.0000 0.5000 0.5000  4 Ta 2.82, 4 Ru 2.96
Ta 0.5000 0.0000 0.5000  4 Ta 2.82, 4 Ca 2.96
Ru 0.5000 0.5000 0.0000  4 Ca 2.82, 4 Ta 2.96

No. 6
Computed, not measured: a relaxed CaTa2Ru crystal at the PBE level of DFT.

Calculated values
- Size of the total moment: 0.00 μB per formula unit
- Formation enthalpy at 0 K: 0.370 eV/atom
- DFT total energy: -67.01 eV/cell
- Polymorph energy (0 for the lowest one): 243 meV per atom

abc: 3.1744 4.9729 9.6146
angles: 90.00 90.00 90.00
With the nearest neighbours (Å) after each atom.
Space group Imm2 (No. 44)
One atom of each set of equivalent atoms:
Ca 0.0000 0.0000 0.0000  2 Ru 2.86, 6 Ta 2.98-3.13, 2 Ca 3.17
Ta 0.0000 0.0000 0.4579  2 Ru 2.57
Ta 0.0000 0.5000 0.2195  4 Ru 2.96, 4 Ta 2.97-3.17, 4 Ca 3.13-3.26
Ru 0.0000 0.5000 0.7480  2 Ta 2.57, 2 Ca 2.86

No. 7
Computed, not measured: a relaxed Ca2TaRu crystal at the PBE level of DFT.

Calculated values
- Size of the total moment: 0.00 μB per formula unit
- Formation enthalpy at 0 K: 0.677 eV/atom
- DFT total energy: -67.27 eV/cell
- Polymorph energy (0 for the lowest one): 597 meV per atom

abc: 3.1291 3.1291 30.4627
angles: 90.00 90.00 120.00
With the nearest neighbours (Å) after each atom.
Space group R-3m (No. 166, hexagonal axes)
One atom of each set of equivalent atoms:
Ca 0.0000 0.0000 0.2395  3 Ru 2.86, 6 Ca 3.13
Ta 0.0000 0.0000 0.0000  6 Ta 3.13, 6 Ca 3.38
Ru 0.0000 0.0000 0.5000  6 Ca 2.86, 6 Ru 3.13

No. 8
Computed, not measured: a relaxed CaTaRu crystal at the PBE level of DFT.

Calculated values
- Size of the total moment: 0.00 μB per formula unit
- Formation enthalpy at 0 K: 0.508 eV/atom
- DFT total energy: -86.43 eV/cell
- Polymorph energy (0 for the lowest one): 642 meV per atom

abc: 6.3961 6.3961 6.3961
angles: 90.00 90.00 90.00
With the nearest neighbours (Å) after each atom.
Space group F-43m (No. 216)
One atom of each set of equivalent atoms:
Ca 0.0000 0.0000 0.0000  4 Ru 2.77
Ta 0.0000 0.0000 0.5000  4 Ru 2.77
Ru 0.2500 0.2500 0.2500  4 Ta 2.77, 4 Ca 2.77

No. 9
Computed, not measured: a relaxed CaTaRu crystal at the PBE level of DFT.

Calculated values
- Size of the total moment: 0.00 μB per formula unit
- Formation enthalpy at 0 K: 0.009 eV/atom
- DFT total energy: -92.41 eV/cell
- Polymorph energy (0 for the lowest one): 144 meV per atom

abc: 6.1350 7.1555 6.5228
angles: 90.00 92.33 90.00
With the nearest neighbours (Å) after each atom.
Space group C2/m (No. 12)
One atom of each set of equivalent atoms:
Ca 0.2462 0.0000 0.3714  3 Ru 3.07-3.37, 2 Ta 3.31
Ta 0.0000 0.2860 0.0000  4 Ru 2.53-2.59
Ru 0.2030 0.0000 0.8554  4 Ta 2.53-2.59

No. 10
Computed, not measured: a relaxed Ca4TaRu crystal at the PBE level of DFT.

Calculated values
- Size of the total moment: 3.43 μB per formula unit
- Formation enthalpy at 0 K: 1.315 eV/atom
- DFT total energy: -84.98 eV/cell

abc: 8.6188 8.6188 8.6188
angles: 90.00 90.00 90.00
With the nearest neighbours (Å) after each atom.
Space group F-43m (No. 216)
One atom of each set of equivalent atoms:
Ca 0.1246 0.1246 0.1246  6 Ca 3.04-3.06
Ta 0.0000 0.0000 0.5000  12 Ca 3.57, 4 Ru 3.73
Ru 0.2500 0.2500 0.7500  12 Ca 3.57, 4 Ta 3.73

No. 11
Computed, not measured: a relaxed CaTaRu3 crystal at the PBE level of DFT.

Calculated values
- Size of the total moment: 2.16 μB per formula unit
- Formation enthalpy at 0 K: 0.850 eV/atom
- DFT total energy: -37.43 eV/cell
- Polymorph energy (0 for the lowest one): 0 meV per atom

abc: 4.7838 4.7838 4.7838
angles: 90.00 90.00 90.00
With the nearest neighbours (Å) after each atom.
Space group Pm-3m (No. 221)
One atom of each set of equivalent atoms:
Ca 0.0000 0.0000 0.0000  12 Ru 3.38
Ta 0.5000 0.5000 0.5000  6 Ru 2.39
Ru 0.0000 0.5000 0.5000  2 Ta 2.39

No. 12
Computed, not measured: a relaxed CaTaRu crystal at the PBE level of DFT.

Calculated values
- Size of the total moment: 0.00 μB per formula unit
- Formation enthalpy at 0 K: 0.066 eV/atom
- DFT total energy: -91.72 eV/cell
- Polymorph energy (0 for the lowest one): 201 meV per atom

abc: 11.1177 3.3059 7.2231
angles: 90.00 91.06 90.00
With the nearest neighbours (Å) after each atom.
Space group Cm (No. 8)
One atom of each set of equivalent atoms:
Ca 0.0000 0.0000 0.0000  3 Ru 3.05-3.17, 2 Ca 3.31, 2 Ta 3.33
Ca 0.2455 0.5000 0.2617  4 Ru 3.10-3.23, 3 Ta 3.26-3.38, 3 Ca 3.31-3.43
Ta 0.1623 0.5000 0.6924  4 Ru 2.57-2.61
Ta 0.3899 0.0000 0.6074  3 Ru 2.49-2.55
Ru 0.0418 0.0000 0.4792  4 Ta 2.55-2.61
Ru 0.2768 0.0000 0.9025  3 Ta 2.49-2.57